(1)
The following is a DFT calculation (GGA-PBE) of crystalline CaHg3 at its relaxed geometry.

Cell lengths 4.717, 4.717, 18.515 Å; angles 90.00, 90.00, 90.00 degrees
Space group I4/mmm (No. 139)
Inequivalent atoms, fractional coordinates:
Ca 0.000 0.000 0.125 (multiplicity 4)
Hg 0.000 0.000 0.376 (multiplicity 4)
Hg 0.000 0.500 0.000 (multiplicity 4)
Hg 0.000 0.500 0.250 (multiplicity 4)

Results
M_tot in μB/f.u.: 0.0
DFT formation energy in meV per atom: -371
N(E_F) in states/eV/atom: 0.356
Final energy in Ha/atom: -0.0403



(2)
The following is a DFT calculation (GGA-PBE) of crystalline YIn4Pt at its relaxed geometry.

Cell lengths 8.353, 8.353, 8.353 Å; angles 90.00, 90.00, 90.00 degrees
Space group F-43m (No. 216)
Inequivalent atoms, fractional coordinates:
Y 0.000 0.000 0.000 (multiplicity 4)
In 0.125 0.125 0.625 (multiplicity 16)
Pt 0.250 0.250 0.250 (multiplicity 4)

Results
M_tot in μB/f.u.: 0.0
DFT formation energy in meV per atom: 48
N(E_F) in states/eV/atom: 0.679
Final energy in Ha/atom: -0.1419



(3)
The following is a DFT calculation (GGA-PBE) of crystalline Pu2CdIr at its relaxed geometry.

Cell lengths 5.446, 5.446, 3.014 Å; angles 90.00, 90.00, 90.00 degrees
Space group P4/mmm (No. 123)
Inequivalent atoms, fractional coordinates:
Pu 0.000 0.500 0.000 (multiplicity 2)
Cd 0.000 0.000 0.500 (multiplicity 1)
Ir 0.500 0.500 0.500 (multiplicity 1)

Results
Distance to the lowest polymorph of the same formula in eV/f.u.: 0.91
M_tot in μB/f.u.: 11.1
DFT formation energy in meV per atom: -49
N(E_F) in states/eV/atom: 3.618
Final energy in Ha/atom: -0.3550



(4)
The following is a DFT calculation (GGA-PBE) of crystalline PmY3Pu2S6 at its relaxed geometry.

Cell lengths 6.826, 11.829, 6.866 Å; angles 90.00, 109.33, 90.00 degrees
Space group C2/m (No. 12)
Inequivalent atoms, fractional coordinates:
Pm 0.000 0.000 0.000 (multiplicity 2)
Y 0.000 0.165 0.500 (multiplicity 4)
Y 0.000 0.500 0.500 (multiplicity 2)
Pu 0.000 0.333 0.000 (multiplicity 4)
S 0.246 0.331 0.745 (multiplicity 8)
S 0.247 0.500 0.255 (multiplicity 4)

Results
E_form (uncorrected) in meV per atom: -1952
M_tot in μB/f.u.: 11.5
N(E_F) in states/eV/atom: 1.362
Final energy in Ha/atom: -0.3093



(5)
The following is a DFT calculation (GGA-PBE) of crystalline NaNdAgPd at its relaxed geometry.

Cell lengths 7.177, 7.177, 7.177 Å; angles 90.00, 90.00, 90.00 degrees
Space group F-43m (No. 216)
Inequivalent atoms, fractional coordinates:
Na 0.000 0.000 0.000 (multiplicity 4)
Nd 0.000 0.000 0.500 (multiplicity 4)
Ag 0.250 0.250 0.250 (multiplicity 4)
Pd 0.250 0.250 0.750 (multiplicity 4)

Results
M_tot in μB/f.u.: 0.0
DFT formation energy in meV per atom: -275
N(E_F) in states/eV/atom: 0.584
Final energy in Ha/atom: -0.1399



(6)
The following is a DFT calculation (GGA-PBE) of crystalline BaBe2AlB at its relaxed geometry.

Cell lengths 4.168, 4.168, 4.776 Å; angles 90.00, 90.00, 90.00 degrees
Space group P4/mmm (No. 123)
Inequivalent atoms, fractional coordinates:
Ba 0.000 0.000 0.000 (multiplicity 1)
Be 0.000 0.500 0.500 (multiplicity 2)
Al 0.500 0.500 0.000 (multiplicity 1)
B 0.500 0.500 0.500 (multiplicity 1)

Results
Distance to the lowest polymorph of the same formula in eV/f.u.: 0.00
M_tot in μB/f.u.: 0.0
DFT formation energy in meV per atom: 689
N(E_F) in states/eV/atom: 0.600
Final energy in Ha/atom: -0.1202